Below is a geometry-optimized SbWO2F structure, with properties calculated at the PBE+U level.

Properties
The value obtained for the total energy is -4.98 eV/atom. The space-group type is P4/mmm, No. 123.

a = 4.2916 Å, b = 4.2916 Å, c = 4.3256 Å
α = 90.00°, β = 90.00°, γ = 90.00°
With the nearest neighbours (Å) after each atom.
Element x y z (fractional)
Sb 0.0000 0.0000 0.0000  4 O 2.15, 2 F 2.16
W 0.5000 0.5000 0.5000  4 F 3.03, 8 O 3.05
F 0.0000 0.0000 0.5000  2 Sb 2.16
O 0.5000 0.0000 0.0000  2 Sb 2.15
O 0.0000 0.5000 0.0000  2 Sb 2.15